Compound: PbAu2
Source: Alexandria via LeMat-Bulk
Functional: GGA-PBEsol
Structure: optimized geometry

```
PbAu2
1.0
5.360 -1.645 0.000
5.360 1.645 0.000
-0.470 0.000 7.176
Pb Au
2 4
Cartesian
0.000 0.000 0.000
2.318 0.000 4.932
2.913 0.000 0.783
5.193 0.000 4.728
6.638 0.000 2.385
9.513 0.000 2.732
```

Results
formation enthalpy at 0 K = 0.03 eV per atom
total energy = -3.919 eV/atom

=====

Compound: ScTiMn2Cl
Source: Alexandria via LeMat-Bulk
Functional: GGA-PBEsol
Structure: optimized geometry

```
ScTiMn2Cl
1.0
4.246 0.000 0.000
0.000 4.246 0.000
0.000 0.000 4.389
Sc Ti Mn Cl
1 1 2 1
Cartesian
0.000 0.000 0.000
2.123 2.123 0.000
0.000 2.123 2.195
2.123 0.000 2.195
2.123 2.123 2.195
```

Results
formation energy without anion corrections = 0.2355 eV per atom
total energy = -7.056 eV/atom

=====

Compound: KNa2Li
Source: Alexandria via LeMat-Bulk
Functional: GGA-PBEsol
Structure: optimized geometry

```
KNa2Li
1.0
0.000 4.285 4.285
4.285 0.000 4.285
4.285 4.285 0.000
K Na Li
1 2 1
Cartesian
0.000 0.000 0.000
2.143 2.143 2.143
6.428 6.428 6.428
4.285 4.285 4.285
```

Results
formation enthalpy at 0 K = 0.08 eV per atom
total energy = -1.398 eV/atom

=====

Compound: LiInP2
Source: Alexandria via LeMat-Bulk
Functional: GGA-PBEsol
Structure: optimized geometry

```
LiInP2
1.0
-3.067 3.067 4.785
3.067 -3.067 4.785
3.067 3.067 -4.785
Li In P
2 2 4
Cartesian
0.000 0.000 0.000
0.000 3.067 2.392
3.067 0.000 2.392
0.000 0.000 4.785
1.534 1.460 -1.196
1.608 -1.534 5.981
1.534 1.608 3.589
1.460 4.601 1.196
```

Results
formation enthalpy at 0 K = 0.23 eV per atom
total energy = -3.900 eV/atom

=====

Compound: TcSe2Cl
Source: Alexandria via LeMat-Bulk
Functional: GGA-PBEsol
Structure: optimized geometry

```
TcSe2Cl
1.0
3.737 0.000 0.000
0.000 3.737 0.000
0.000 0.000 5.819
Tc Se Cl
1 2 1
Cartesian
0.000 0.000 0.000
0.000 1.869 2.909
1.869 0.000 2.909
1.869 1.869 0.000
```

Results
excess energy over the best structure of this formula in the dataset = 454.0 meV/atom
formation energy without anion corrections = 0.6830 eV per atom
total energy = -4.561 eV/atom

=====

Compound: Cs2BeI
Source: Alexandria via LeMat-Bulk
Functional: GGA-PBEsol
Structure: optimized geometry

```
Cs2BeI
1.0
0.000 4.456 4.456
4.456 0.000 4.456
4.456 4.456 0.000
Cs Be I
2 1 1
Cartesian
2.228 2.228 2.228
6.684 6.684 6.684
0.000 0.000 0.000
4.456 4.456 4.456
```

Results
formation energy without anion corrections = 0.0068 eV per atom
total energy = -1.906 eV/atom

=====

Compound: K3TiO
Source: Alexandria via LeMat-Bulk
Functional: GGA-PBEsol
Structure: optimized geometry

```
K3TiO
1.0
5.411 0.000 0.000
0.000 5.411 0.000
0.000 0.000 5.411
K Ti O
3 1 1
Cartesian
0.000 0.000 2.706
0.000 2.706 0.000
2.706 0.000 0.000
2.706 2.706 2.706
0.000 0.000 0.000
```

Results
formation energy without anion corrections = 0.2489 eV per atom
total energy = -3.145 eV/atom

=====

Compound: KCrAs2
Source: Alexandria via LeMat-Bulk
Functional: GGA-PBEsol
Structure: optimized geometry

```
KCrAs2
1.0
0.000 3.398 3.398
3.398 0.000 3.398
3.398 3.398 0.000
K Cr As
1 1 2
Cartesian
0.000 0.000 0.000
3.398 3.398 3.398
1.699 1.699 1.699
5.097 5.097 5.097
```

Results
excess energy over the best structure of this formula in the dataset = 0.0 meV/atom
formation enthalpy at 0 K = 0.36 eV per atom
total energy = -5.033 eV/atom

=====

Compound: TiCu2IrW
Source: Alexandria via LeMat-Bulk
Functional: GGA-PBEsol
Structure: optimized geometry

```
TiCu2IrW
1.0
4.507 0.000 0.000
0.000 4.507 0.000
0.000 0.000 4.431
Ti Cu Ir W
1 2 1 1
Cartesian
0.000 0.000 0.000
0.000 2.253 2.215
2.253 0.000 2.215
0.000 0.000 2.215
2.253 2.253 0.000
```

Results
formation enthalpy at 0 K = 1.52 eV per atom
total energy = -6.604 eV/atom

=====

Compound: Y2InIr
Source: Alexandria via LeMat-Bulk
Functional: GGA-PBEsol
Structure: optimized geometry

```
Y2InIr
1.0
3.409 0.000 0.000
0.000 3.409 0.000
0.000 0.000 7.785
Y In Ir
2 1 1
Cartesian
0.000 0.000 1.659
0.000 0.000 6.126
1.705 1.705 3.893
1.705 1.705 0.000
```

Results
formation enthalpy at 0 K = -0.68 eV per atom
total energy = -7.293 eV/atom

=====

Compound: ZrHgSb2
Source: Alexandria via LeMat-Bulk
Functional: GGA-PBEsol
Structure: optimized geometry

```
ZrHgSb2
1.0
-3.246 3.246 6.456
3.246 -3.246 6.456
3.246 3.246 -6.456
Zr Hg Sb
2 2 4
Cartesian
0.000 0.000 0.000
0.000 3.246 3.228
3.246 0.000 3.228
0.000 0.000 6.456
4.869 1.604 -1.614
1.604 1.623 1.614
-1.623 1.641 4.842
1.641 1.623 8.070
```

Results
formation energy without anion corrections = 0.1324 eV per atom
total energy = -4.560 eV/atom

=====

Compound: KInMo2
Source: Alexandria via LeMat-Bulk
Functional: GGA-PBEsol
Structure: optimized geometry

```
KInMo2
1.0
2.902 -5.211 0.000
2.902 5.211 0.000
-0.911 0.000 2.552
K In Mo
1 1 2
Cartesian
0.000 0.000 0.000
2.902 0.000 0.000
0.995 2.606 1.276
0.995 -2.606 1.276
```

Results
formation enthalpy at 0 K = 1.22 eV per atom
total energy = -5.691 eV/atom